# SrLiCu

SrLiCu after structural relaxation (GGA-PBE, the Alexandria database).

Values from the calculation:
The energy is -0.153 Ry per atom. The calculation puts the offset from the most stable computed form at 518 meV per atom. Its space-group type is F-43m. The formation energy is 0.48 eV/atom. The value obtained for the spin magnetization is 0.00 μB/cell.

The structure in POSCAR format:
```
SrLiCu
1.0
5.101 0.000 0.000
2.551 4.418 0.000
2.551 1.473 4.165
Sr Cu Li
1 1 1
direct
0.750 0.750 0.750
0.000 0.000 0.000
0.500 0.500 0.500
```